Compound: SrTlI2N
Source: Alexandria
Functional: PBE
Structure: relaxed

The space group is P4/mmm (No. 123) and the conventional cell measures 6.339, 6.339 and 4.197 Å, with angles of 90.00, 90.00 and 90.00 degrees. The distinct sites, in fractional coordinates, are Sr at (0.000, 0.000, 0.000), Tl at (0.500, 0.500, 0.500), I at (0.000, 0.500, 0.500) and N at (0.500, 0.500, 0.000).

Its density of states at the Fermi level is 4.6 states/eV per cell. As for the total moment: 0.11 μB per atom. The calculation puts the total energy at -0.1106 Ha/atom. Its crystal system is tetragonal. The value obtained for the relative energy among the computed polymorphs is 273.6 meV per atom. The formation energy from raw total energies comes out at 0.084 eV/atom. The volume comes out at 33.7 Å³/atom.